# 1
Sr2NiP | PBE-GGA | optimized geometry

Results
The value obtained for the excess energy over the best structure of this formula in the dataset is 1.43 eV per formula unit. The calculation puts the theoretical density at 4.4 g/cm³. The calculation puts the magnetization at 2.0 μB/cell.

Cell and atoms, written as CIF:
```
data_Sr2NiP
_symmetry_space_group_name_H-M 'F m -3 m'
_symmetry_Int_Tables_number 225
_symmetry_space_group_name_Hall '-F 4 2 3'
_cell_length_a 7.341
_cell_length_b 7.341
_cell_length_c 7.341
_cell_angle_alpha 90.00
_cell_angle_beta 90.00
_cell_angle_gamma 90.00
loop_
_atom_site_label
_atom_site_type_symbol
_atom_site_fract_x
_atom_site_fract_y
_atom_site_fract_z
Sr1 Sr 0.250 0.250 0.250
Ni1 Ni 0.000 0.000 0.000
P1 P 0.000 0.000 0.500
```


# 2
SrNiP3 | PBE-GGA | optimized geometry

Results
The value obtained for the excess energy over the best structure of this formula in the dataset is 9.57 eV per formula unit. The calculation puts the theoretical density at 2.6 g/cm³. The calculation puts the magnetization at 1.4 μB/cell.

Cell and atoms, written as CIF:
```
data_SrNiP3
_symmetry_space_group_name_H-M 'P m -3 m'
_symmetry_Int_Tables_number 221
_symmetry_space_group_name_Hall '-P 4 2 3'
_cell_length_a 5.379
_cell_length_b 5.379
_cell_length_c 5.379
_cell_angle_alpha 90.00
_cell_angle_beta 90.00
_cell_angle_gamma 90.00
loop_
_atom_site_label
_atom_site_type_symbol
_atom_site_fract_x
_atom_site_fract_y
_atom_site_fract_z
Sr1 Sr 0.000 0.000 0.000
Ni1 Ni 0.500 0.500 0.500
P1 P 0.000 0.000 0.500
```


# 3
Sr2NiP2 | PBE-GGA | optimized geometry

Results
The calculation puts the theoretical density at 3.9 g/cm³. The calculation puts the magnetization at 0.0 μB/cell. For the total energy, the calculation gives -4.8269 eV per atom.

Cell and atoms, written as CIF:
```
data_Sr2NiP2
_symmetry_space_group_name_H-M 'P 1 21 1'
_symmetry_Int_Tables_number 4
_cell_length_a 3.996
_cell_length_b 7.452
_cell_length_c 8.756
_cell_angle_alpha 90.00
_cell_angle_beta 103.20
_cell_angle_gamma 90.00
loop_
_symmetry_equiv_pos_as_xyz
'x,y,z'
'-x,y+1/2,-z'
loop_
_atom_site_label
_atom_site_type_symbol
_atom_site_fract_x
_atom_site_fract_y
_atom_site_fract_z
Sr1 Sr 0.025 0.000 0.050
Sr2 Sr 0.222 0.674 0.445
Ni1 Ni 0.380 0.915 0.758
P1 P 0.148 0.303 0.297
P2 P 0.415 0.198 0.830
```